# NdHoTl2

A relaxed NdHoTl2 crystal (GGA-PBEsol, Alexandria).

Lattice parameters (Å, degrees): 5.333 5.333 5.333 60.00 60.00 60.00
Element x y z (fractional)
Tl: 0.750 0.750 0.750
Ho: 0.500 0.500 0.500
Nd: 0.000 0.000 0.000
Tl: 0.250 0.250 0.250

Summary:
Formation enthalpy at 0 K ... -1.71 eV/f.u.

# BaSi2N2O2

A relaxed BaSi2N2O2 crystal (GGA-PBEsol, Alexandria).

Lattice parameters (Å, degrees): 4.839 5.326 14.402 90.00 90.00 90.00
Element x y z (fractional)
O: 0.748 0.741 0.908
N: 0.659 0.367 0.780
N: 0.341 0.133 0.280
N: 0.841 0.367 0.220
Ba: 0.750 0.744 0.500
Si: 0.196 0.338 0.199
O: 0.248 0.259 0.908
N: 0.159 0.133 0.720
O: 0.748 0.241 0.592
O: 0.252 0.759 0.408
Si: 0.696 0.662 0.199
O: 0.752 0.741 0.092
Ba: 0.750 0.244 0.000
O: 0.252 0.259 0.092
Si: 0.696 0.162 0.301
N: 0.341 0.633 0.220
Si: 0.304 0.838 0.699
Si: 0.804 0.662 0.801
Si: 0.196 0.838 0.301
N: 0.841 0.867 0.280
N: 0.159 0.633 0.780
O: 0.752 0.241 0.408
O: 0.248 0.759 0.592
Si: 0.804 0.162 0.699
Ba: 0.250 0.256 0.500
N: 0.659 0.867 0.720
Ba: 0.250 0.756 0.000
Si: 0.304 0.338 0.801

Summary:
E_form (uncorrected) ... -2.14 eV/atom

# RbFeNi3

A relaxed RbFeNi3 crystal (GGA-PBEsol, Alexandria).

Lattice parameters (Å, degrees): 4.481 4.481 4.481 90.00 90.00 90.00
Each line ends with the local moment (μB).
Element x y z (fractional)
Ni: 0.500 0.000 0.000  0.29
Ni: 0.000 0.500 0.000  0.29
Rb: 0.000 0.000 0.000  0.00
Ni: 0.000 0.000 0.500  0.29
Fe: 0.500 0.500 0.500  3.29

Summary:
Formation enthalpy at 0 K ... 12.65 eV/f.u.
Energy above the most stable polymorph in this dataset ... 1.458 eV/atom

# CrTcS2N

A relaxed CrTcS2N crystal (GGA-PBEsol, Alexandria).

Lattice parameters (Å, degrees): 3.437 4.571 4.571 90.00 90.00 90.00
Each line ends with the local moment (μB).
Element x y z (fractional)
S: 0.000 0.000 0.500  -0.04
S: 0.000 0.500 0.000  -0.04
Tc: 0.500 0.500 0.500  2.83
Cr: 0.000 0.000 0.000  1.17
N: 0.500 0.000 0.000  -0.10

Summary:
E_form (uncorrected) ... 0.51 eV/atom

Here are the calculated magnetic moment numbers, same order: 0.00 0.00 4.09 4.11 (μB per cell).